Record 1
{
  "formula": "CaMg6Zn6",
  "functional": "PBE",
  "state": "relaxed",
  "lattice_angstrom": [[-2.9235, -0.7077, 4.5757], [-5.0518, -5.1989, -0.7553], [3.0390, -4.8976, 4.4607]],
  "species": ["Ca", "Mg", "Mg", "Mg", "Mg", "Mg", "Mg", "Zn", "Zn", "Zn", "Zn", "Zn", "Zn"],
  "fractional_positions": [[0.0000, 0.0000, 0.0000], [0.3475, 0.6525, 0.6525], [0.6525, 0.3475, 0.3475], [0.0000, 0.3467, 0.6533], [0.0000, 0.6533, 0.3467], [0.3050, 0.1950, 0.1950], [0.6950, 0.8050, 0.8050], [0.0000, 0.5000, 0.0000], [0.5000, 0.5000, 0.0000], [0.0000, 0.0000, 0.5000], [0.5000, 0.0000, 0.5000], [0.5000, 0.7730, 0.2270], [0.5000, 0.2270, 0.7730]],
  "magnetic_moment_mub_per_cell": 0.0,
  "mass_density_g_cm3": 3.84,
  "dft_energy_ev_per_atom": -1.6182,
  "formation_enthalpy_0k_kj_per_mol_atoms": -14,
  "relative_energy_mev_per_atom": 0
}



Record 2
{
  "formula": "Na12Cd7In",
  "functional": "PBE",
  "state": "relaxed",
  "lattice_angstrom": [[8.2922, 0.0706, -1.9551], [-2.4851, 7.9113, -1.9551], [0.0513, 0.0706, 8.5194]],
  "species": ["Na", "Na", "Na", "Na", "Na", "Na", "Na", "Na", "Na", "Na", "Na", "Na", "Cd", "Cd", "Cd", "Cd", "Cd", "Cd", "Cd", "In"],
  "fractional_positions": [[0.7651, 0.2337, 0.4954], [0.5046, 0.2349, 0.7663], [0.9198, 0.6649, 0.6764], [0.3236, 0.0802, 0.3351], [0.7663, 0.5046, 0.2349], [0.3351, 0.3236, 0.0802], [0.6649, 0.6764, 0.9198], [0.2337, 0.4954, 0.7651], [0.6764, 0.9198, 0.6649], [0.0802, 0.3351, 0.3236], [0.4954, 0.7651, 0.2337], [0.2349, 0.7663, 0.5046], [0.3183, 0.9121, 0.9174], [0.0826, 0.6817, 0.0879], [0.0879, 0.0826, 0.6817], [0.5000, 0.5000, 0.5000], [0.9121, 0.9174, 0.3183], [0.9174, 0.3183, 0.9121], [0.6817, 0.0879, 0.0826], [0.0000, 0.0000, 0.0000]],
  "magnetic_moment_mub_per_cell": 0.0,
  "mass_density_g_cm3": 3.48,
  "dft_energy_ev_per_atom": -1.3114,
  "formation_enthalpy_0k_kj_per_mol_atoms": -6,
  "relative_energy_mev_per_atom": 5
}



Record 3
{
  "formula": "Ba2Hg6PdPb",
  "functional": "PBE",
  "state": "relaxed",
  "lattice_angstrom": [[-0.5217, -2.1980, 7.5460], [-0.7239, -7.5170, -2.2396], [4.9111, -5.4528, 2.8624]],
  "species": ["Ba", "Ba", "Hg", "Hg", "Hg", "Hg", "Hg", "Hg", "Pd", "Pb"],
  "fractional_positions": [[0.2500, 0.7500, 0.5000], [0.7500, 0.2500, 0.5000], [0.2379, 0.7621, 0.0000], [0.7620, 0.7620, 0.0000], [0.2380, 0.2380, 0.5241], [0.7621, 0.2379, 0.0000], [0.2380, 0.2380, 0.0000], [0.7620, 0.7620, 0.4759], [0.0000, 0.0000, 0.0000], [0.5000, 0.5000, 0.0000]],
  "magnetic_moment_mub_per_cell": 0.0,
  "mass_density_g_cm3": 8.61,
  "dft_energy_ev_per_atom": -1.6640,
  "formation_enthalpy_0k_kj_per_mol_atoms": -20
}



Record 4
{
  "formula": "Sr2FeAgN",
  "functional": "PBE",
  "state": "relaxed",
  "lattice_angstrom": [[5.4929, 0.0000, 0.0000], [0.0000, 5.4929, 0.0000], [0.0000, 0.0000, 3.5878]],
  "species": ["Sr", "Sr", "Fe", "Ag", "N"],
  "fractional_positions": [[0.0000, 0.5000, 0.0000], [0.5000, 0.0000, 0.0000], [0.0000, 0.0000, 0.5000], [0.5000, 0.5000, 0.5000], [0.0000, 0.0000, 0.0000]],
  "magnetic_moment_mub_per_cell": 0.3,
  "mass_density_g_cm3": 5.41,
  "dft_energy_ev_per_atom": -4.9294,
  "e_form_raw_ev_per_atom": -0.33
}